Record 1
! CrCu2Ru | Alexandria via LeMat-Bulk | meta-GGA SCAN | PBEsol geometry; values from VASP
&SYSTEM
  ibrav = 0, nat = 4, ntyp = 3
/
ATOMIC_SPECIES
Cr 52.00 Cr.upf
Cu 63.55 Cu.upf
Ru 101.07 Ru.upf
CELL_PARAMETERS angstrom
2.992 0.000 0.000
0.000 2.992 0.000
0.000 0.000 5.442
ATOMIC_POSITIONS crystal
Cr 0.000 0.000 0.000
Cu 0.000 0.000 0.490
Cu 0.500 0.500 0.270
Ru 0.500 0.500 0.778
! ΔH_f (0 K) = 0.134 eV/atom
! uncorrected energy = -20.768 eV/atom

---

Record 2
! Cr2CuS4 | Alexandria via LeMat-Bulk | meta-GGA SCAN | PBEsol geometry; values from VASP
&SYSTEM
  ibrav = 0, nat = 14, ntyp = 3
/
ATOMIC_SPECIES
Cr 52.00 Cr.upf
Cu 63.55 Cu.upf
S 32.06 S.upf
CELL_PARAMETERS angstrom
12.593 0.000 0.000
0.000 3.089 0.000
-2.265 0.000 5.078
ATOMIC_POSITIONS crystal
Cr 0.244 0.000 0.187
Cr 0.256 0.500 0.813
Cr 0.744 0.500 0.187
Cr 0.756 0.000 0.813
Cu 0.000 0.500 0.500
Cu 0.500 0.000 0.500
S 0.113 0.500 0.952
S 0.148 0.000 0.482
S 0.352 0.500 0.518
S 0.387 0.000 0.048
S 0.613 0.000 0.952
S 0.648 0.500 0.482
S 0.852 0.000 0.518
S 0.887 0.500 0.048
! uncorrected formation energy = -0.55 eV/atom
! uncorrected energy = -13.474 eV/atom

---

Record 3
! CrCuS2 | Alexandria via LeMat-Bulk | meta-GGA SCAN | PBEsol geometry; values from VASP
&SYSTEM
  ibrav = 0, nat = 12, ntyp = 3
/
ATOMIC_SPECIES
Cr 52.00 Cr.upf
Cu 63.55 Cu.upf
S 32.06 S.upf
CELL_PARAMETERS angstrom
3.458 0.000 0.000
-1.729 2.995 0.000
0.000 0.000 18.092
ATOMIC_POSITIONS crystal
Cr 0.000 0.000 0.000
Cr 0.333 0.667 0.667
Cr 0.667 0.333 0.333
Cu 0.000 0.000 0.854
Cu 0.333 0.667 0.521
Cu 0.667 0.333 0.187
S 0.000 0.000 0.254
S 0.000 0.000 0.734
S 0.333 0.667 0.401
S 0.333 0.667 0.921
S 0.667 0.333 0.067
S 0.667 0.333 0.588
! uncorrected formation energy = -0.80 eV/atom
! uncorrected energy = -14.014 eV/atom

---

Record 4
! Cr3Cu2SbS8 | Alexandria via LeMat-Bulk | meta-GGA SCAN | PBEsol geometry; values from VASP
&SYSTEM
  ibrav = 0, nat = 14, ntyp = 4
/
ATOMIC_SPECIES
Cr 52.00 Cr.upf
Cu 63.55 Cu.upf
Sb 121.76 Sb.upf
S 32.06 S.upf
CELL_PARAMETERS angstrom
3.449 1.991 5.858
-3.449 1.991 5.858
0.000 -3.982 5.858
ATOMIC_POSITIONS crystal
Cr 0.000 0.500 0.500
Cr 0.500 0.000 0.500
Cr 0.500 0.500 0.000
Cu 0.131 0.131 0.131
Cu 0.869 0.869 0.869
Sb 0.500 0.500 0.500
S 0.244 0.244 0.734
S 0.244 0.734 0.244
S 0.259 0.259 0.259
S 0.266 0.756 0.756
S 0.734 0.244 0.244
S 0.741 0.741 0.741
S 0.756 0.266 0.756
S 0.756 0.756 0.266
! uncorrected formation energy = -0.78 eV/atom
! uncorrected energy = -15.053 eV/atom

---

Record 5
! CrCuSb | Alexandria via LeMat-Bulk | meta-GGA SCAN | PBEsol geometry; values from VASP
&SYSTEM
  ibrav = 0, nat = 3, ntyp = 3
/
ATOMIC_SPECIES
Cr 52.00 Cr.upf
Cu 63.55 Cu.upf
Sb 121.76 Sb.upf
CELL_PARAMETERS angstrom
3.186 0.000 0.000
-1.593 2.759 0.000
0.000 0.000 5.928
ATOMIC_POSITIONS crystal
Cr 0.000 0.000 0.000
Cu 0.333 0.667 0.703
Sb 0.667 0.333 0.357
! uncorrected formation energy = 0.39 eV/atom
! uncorrected energy = -23.227 eV/atom

---

Record 6
! CrCu2Sb | Alexandria via LeMat-Bulk | meta-GGA SCAN | PBEsol geometry; values from VASP
&SYSTEM
  ibrav = 0, nat = 4, ntyp = 3
/
ATOMIC_SPECIES
Cr 52.00 Cr.upf
Cu 63.55 Cu.upf
Sb 121.76 Sb.upf
CELL_PARAMETERS angstrom
3.212 0.000 0.000
0.000 3.554 0.000
0.000 0.000 5.331
ATOMIC_POSITIONS crystal
Cr 0.000 0.000 0.000
Cu 0.500 0.500 0.231
Cu 0.500 0.500 0.769
Sb 0.000 0.000 0.500
! uncorrected formation energy = 0.18 eV/atom
! uncorrected energy = -21.333 eV/atom

---

Record 7
! CrCuSb4 | Alexandria via LeMat-Bulk | meta-GGA SCAN | PBEsol geometry; values from VASP
&SYSTEM
  ibrav = 0, nat = 6, ntyp = 3
/
ATOMIC_SPECIES
Cr 52.00 Cr.upf
Cu 63.55 Cu.upf
Sb 121.76 Sb.upf
CELL_PARAMETERS angstrom
0.000 4.266 4.266
4.266 0.000 4.266
4.266 4.266 0.000
ATOMIC_POSITIONS crystal
Cr 0.000 0.000 0.000
Cu 0.750 0.750 0.750
Sb 0.376 0.376 0.376
Sb 0.376 0.376 0.873
Sb 0.376 0.873 0.376
Sb 0.873 0.376 0.376
! uncorrected formation energy = 0.76 eV/atom
! uncorrected energy = -29.679 eV/atom

---

Record 8
! ScCrCu2Sb | Alexandria via LeMat-Bulk | meta-GGA SCAN | PBEsol geometry; values from VASP
&SYSTEM
  ibrav = 0, nat = 5, ntyp = 4
/
ATOMIC_SPECIES
Sc 44.96 Sc.upf
Cr 52.00 Cr.upf
Cu 63.55 Cu.upf
Sb 121.76 Sb.upf
CELL_PARAMETERS angstrom
4.492 0.000 0.000
0.000 4.492 0.000
0.000 0.000 4.801
ATOMIC_POSITIONS crystal
Sc 0.000 0.000 0.000
Cr 0.500 0.500 0.500
Cu 0.000 0.500 0.500
Cu 0.500 0.000 0.500
Sb 0.500 0.500 0.000
! uncorrected formation energy = 0.45 eV/atom
! uncorrected energy = -19.610 eV/atom

---

Record 9
! ScCrCu | Alexandria via LeMat-Bulk | meta-GGA SCAN | PBEsol geometry; values from VASP
&SYSTEM
  ibrav = 0, nat = 12, ntyp = 3
/
ATOMIC_SPECIES
Sc 44.96 Sc.upf
Cr 52.00 Cr.upf
Cu 63.55 Cu.upf
CELL_PARAMETERS angstrom
3.780 0.000 0.000
0.000 3.800 0.000
0.000 0.000 11.813
ATOMIC_POSITIONS crystal
Sc 0.000 0.000 0.000
Sc 0.000 0.500 0.500
Sc 0.500 0.000 0.500
Sc 0.500 0.500 0.000
Cr 0.000 0.000 0.323
Cr 0.000 0.500 0.823
Cr 0.500 0.000 0.823
Cr 0.500 0.500 0.323
Cu 0.000 0.000 0.681
Cu 0.000 0.500 0.181
Cu 0.500 0.000 0.181
Cu 0.500 0.500 0.681
! ΔH_f (0 K) = 0.337 eV/atom
! uncorrected energy = -15.604 eV/atom

---

Record 10
! ScCr2Cu | Alexandria via LeMat-Bulk | meta-GGA SCAN | PBEsol geometry; values from VASP
&SYSTEM
  ibrav = 0, nat = 4, ntyp = 3
/
ATOMIC_SPECIES
Sc 44.96 Sc.upf
Cr 52.00 Cr.upf
Cu 63.55 Cu.upf
CELL_PARAMETERS angstrom
3.139 0.000 0.000
0.000 4.120 0.000
0.000 0.000 4.354
ATOMIC_POSITIONS crystal
Sc 0.000 0.000 0.000
Cr 0.000 0.500 0.500
Cr 0.500 0.000 0.500
Cu 0.500 0.500 0.000
! ΔH_f (0 K) = 0.059 eV/atom
! excess energy over the best structure of this formula in the dataset = 0 kJ/mol of formula units
! uncorrected energy = -16.493 eV/atom

---

Record 11
! ScCr3Cu | Alexandria via LeMat-Bulk | meta-GGA SCAN | PBEsol geometry; values from VASP
&SYSTEM
  ibrav = 0, nat = 5, ntyp = 3
/
ATOMIC_SPECIES
Sc 44.96 Sc.upf
Cr 52.00 Cr.upf
Cu 63.55 Cu.upf
CELL_PARAMETERS angstrom
4.503 0.000 0.000
0.000 4.503 0.000
0.000 0.000 4.503
ATOMIC_POSITIONS crystal
Sc 0.000 0.000 0.000
Cr 0.000 0.500 0.500
Cr 0.500 0.000 0.500
Cr 0.500 0.500 0.000
Cu 0.500 0.500 0.500
! ΔH_f (0 K) = 0.792 eV/atom
! uncorrected energy = -16.126 eV/atom

---

Record 12
! ScCr2Cu | Alexandria via LeMat-Bulk | meta-GGA SCAN | PBEsol geometry; values from VASP
&SYSTEM
  ibrav = 0, nat = 4, ntyp = 3
/
ATOMIC_SPECIES
Sc 44.96 Sc.upf
Cr 52.00 Cr.upf
Cu 63.55 Cu.upf
CELL_PARAMETERS angstrom
2.651 0.000 0.000
0.000 4.528 0.000
-0.585 0.000 4.516
ATOMIC_POSITIONS crystal
Sc 0.000 0.000 0.000
Cr 0.330 0.500 0.763
Cr 0.670 0.500 0.237
Cu 0.500 0.000 0.500
! ΔH_f (0 K) = 0.450 eV/atom
! excess energy over the best structure of this formula in the dataset = 151 kJ/mol of formula units
! uncorrected energy = -16.102 eV/atom